No. 1
Here is CoSb2O6 at its PBEsol-relaxed geometry from Alexandria. Energies are from SCAN.

a = 4.659 Å, b = 4.659 Å, c = 9.377 Å
α = 90.00°, β = 90.00°, γ = 90.00°
Space group P4_2/mnm (No. 136)
Asymmetric unit:
Co1 0.000 0.000 0.000 x2
Sb1 0.000 0.000 0.333 x4
O1 0.195 0.195 0.168 x8
O2 0.195 0.195 0.500 x4

## Properties
Formation energy without anion corrections = -146.2 kJ per mole of atoms

***

No. 2
Here is Li3Hg5 at its PBEsol-relaxed geometry from Alexandria. Energies are from SCAN.

a = 7.9520 Å, b = 7.9520 Å, c = 5.6397 Å
α = 90.00°, β = 90.00°, γ = 120.00°
Space group P6_3/mcm (No. 193)
Asymmetric unit:
Li1 0.0000 0.4001 0.2500 x6
Hg1 0.0000 0.2319 0.7500 x6
Hg2 0.3333 0.6667 0.0000 x4

## Properties
DFT formation energy = -283.8 meV/atom
Offset from the most stable computed form = 39 meV/atom

***

No. 3
Here is YSi2Ir2 at its PBEsol-relaxed geometry from Alexandria. Energies are from SCAN.

a = 4.089 Å, b = 4.089 Å, c = 9.782 Å
α = 90.00°, β = 90.00°, γ = 90.00°
Space group P4/nmm (No. 129, origin choice 2)
Asymmetric unit:
Y1 0.250 0.250 0.247 x2
Si1 0.250 0.250 0.631 x2
Si2 0.250 0.750 0.000 x2
Ir1 0.250 0.250 0.871 x2
Ir2 0.250 0.750 0.500 x2

## Properties
Formation energy without anion corrections = -120.5 kJ per mole of atoms

***

No. 4
Here is Tl2AgHg at its PBEsol-relaxed geometry from Alexandria. Energies are from SCAN.

a = 3.276 Å, b = 5.344 Å, c = 10.869 Å
α = 90.00°, β = 90.00°, γ = 90.00°
Space group Imm2 (No. 44)
Asymmetric unit:
Tl1 0.000 0.000 0.000 x2
Tl2 0.000 0.500 0.218 x2
Ag1 0.000 0.500 0.731 x2
Hg1 0.000 0.000 0.447 x2

## Properties
DFT formation energy = 77.9 meV/atom
Offset from the most stable computed form = 0 meV/atom

***

No. 5
Here is SrTl2Fe at its PBEsol-relaxed geometry from Alexandria. Energies are from SCAN.

a = 7.342 Å, b = 7.342 Å, c = 7.342 Å
α = 90.00°, β = 90.00°, γ = 90.00°
Space group F-43m (No. 216)
Asymmetric unit:
Sr1 0.000 0.000 0.000 x4
Tl1 0.000 0.000 0.500 x4
Tl2 0.250 0.250 0.750 x4
Fe1 0.250 0.250 0.250 x4

## Properties
DFT formation energy = 313.7 meV/atom

***

No. 6
Here is LiAsIr2 at its PBEsol-relaxed geometry from Alexandria. Energies are from SCAN.

a = 4.091 Å, b = 2.771 Å, c = 9.835 Å
α = 90.00°, β = 90.00°, γ = 90.00°
Space group Amm2 (No. 38)
Asymmetric unit:
Li1 0.000 0.000 0.000 x2
As1 0.500 0.000 0.395 x2
Ir1 0.000 0.000 0.257 x2
Ir2 0.500 0.000 0.638 x2

## Properties
DFT formation energy = -214.6 meV/atom